(1)
Here is an optimized crystal structure of HoSc5Ga2 from Alexandria via LeMat-Bulk. Energies are from GGA-PBE.

The calculation puts the final energy at -5.529 eV per atom. As for the crystal system: orthorhombic.

It has space group Immm (No. 71), with a = 4.250 Å, b = 8.713 Å, c = 10.223 Å, α = 90.00°, β = 90.00° and γ = 90.00°. The asymmetric unit holds Ho at (0.000, 0.000, 0.000), Sc at (0.000, 0.186, 0.343), Sc at (0.000, 0.500, 0.000) and Ga at (0.000, 0.500, 0.279).


(2)
Here is an optimized crystal structure of Ho2ScGa3 from Alexandria via LeMat-Bulk. Energies are from GGA-PBE.

The calculation puts the final energy at -4.431 eV per atom. As for the crystal system: orthorhombic.

It has space group Immm (No. 71), with a = 3.426 Å, b = 5.815 Å, c = 14.298 Å, α = 90.00°, β = 90.00° and γ = 90.00°. The asymmetric unit holds Ho at (0.000, 0.000, 0.170), Sc at (0.000, 0.000, 0.500), Ga at (0.000, 0.500, 0.158) and Ga at (0.000, 0.500, 0.500).


(3)
Here is an optimized crystal structure of Ho3ScGa8 from Alexandria via LeMat-Bulk. Energies are from GGA-PBE.

The calculation puts the final energy at -4.224 eV per atom. As for the crystal system: trigonal.

It has space group R3m (No. 160, hexagonal axes), with a = 5.4262 Å, b = 5.4262 Å, c = 26.9582 Å, α = 90.00°, β = 90.00° and γ = 120.00°. The asymmetric unit holds Ho at (0.0000, 0.0000, 0.0000), Ho at (0.0000, 0.0000, 0.1250), Ho at (0.0000, 0.0000, 0.6228), Sc at (0.0000, 0.0000, 0.5006), Ga at (0.0000, 0.0000, 0.3117), Ga at (0.0000, 0.0000, 0.8123), Ga at (0.9998, 0.4999, 0.5611) and Ga at (0.0006, 0.5003, 0.0629).


(4)
Here is an optimized crystal structure of HoSc2Ga from Alexandria via LeMat-Bulk. Energies are from GGA-PBE.

The calculation puts the final energy at -5.197 eV per atom. As for the crystal system: trigonal.

It has space group R3m (No. 160, hexagonal axes), with a = 4.6699 Å, b = 4.6699 Å, c = 16.0381 Å, α = 90.00°, β = 90.00° and γ = 120.00°. The asymmetric unit holds Ho at (0.0000, 0.0000, 0.0000), Sc at (0.0000, 0.0000, 0.5521), Sc at (0.0000, 0.0000, 0.7881) and Ga at (0.0000, 0.0000, 0.2044).


(5)
Here is an optimized crystal structure of Ho2Sc3Ga2 from Alexandria via LeMat-Bulk. Energies are from GGA-PBE.

The calculation puts the final energy at -5.232 eV per atom. As for the crystal system: monoclinic.

It has space group C2/m (No. 12), with a = 11.041 Å, b = 4.242 Å, c = 7.728 Å, α = 90.00°, β = 110.44° and γ = 90.00°. The asymmetric unit holds Ho at (0.142, 0.000, 0.291), Sc at (0.000, 0.500, 0.500), Sc at (0.128, 0.500, 0.938) and Ga at (0.162, 0.000, 0.712).


(6)
Here is an optimized crystal structure of Ho2ScGa9 from Alexandria via LeMat-Bulk. Energies are from GGA-PBE.

The calculation puts the final energy at -4.081 eV per atom. As for the crystal system: tetragonal.

It has space group P4/mmm (No. 123), with a = 4.215 Å, b = 4.215 Å, c = 12.624 Å, α = 90.00°, β = 90.00° and γ = 90.00°. The asymmetric unit holds Ho at (0.000, 0.000, 0.170), Sc at (0.000, 0.000, 0.500), Ga at (0.000, 0.500, 0.000), Ga at (0.000, 0.500, 0.340), Ga at (0.500, 0.500, 0.167) and Ga at (0.500, 0.500, 0.500).


(7)
Here is an optimized crystal structure of HoSc2Ga3 from Alexandria via LeMat-Bulk. Energies are from GGA-PBE.

The calculation puts the final energy at -4.790 eV per atom. As for the crystal system: orthorhombic.

It has space group Cmmm (No. 65), with a = 5.762 Å, b = 9.995 Å, c = 4.569 Å, α = 90.00°, β = 90.00° and γ = 90.00°. The asymmetric unit holds Ho at (0.000, 0.000, 0.000), Sc at (0.000, 0.334, 0.000), Ga at (0.000, 0.500, 0.500) and Ga at (0.250, 0.250, 0.500).


(8)
Here is an optimized crystal structure of HoSc4Ga5 from Alexandria via LeMat-Bulk. Energies are from GGA-PBE.

The calculation puts the final energy at -5.092 eV per atom. As for the crystal system: tetragonal.

It has space group P4/mmm (No. 123), with a = 3.403 Å, b = 3.403 Å, c = 16.941 Å, α = 90.00°, β = 90.00° and γ = 90.00°. The asymmetric unit holds Ho at (0.000, 0.000, 0.000), Sc at (0.000, 0.000, 0.208), Sc at (0.000, 0.000, 0.403), Ga at (0.500, 0.500, 0.112), Ga at (0.500, 0.500, 0.306) and Ga at (0.500, 0.500, 0.500).


(9)
Here is an optimized crystal structure of Ho4ScGa15 from Alexandria via LeMat-Bulk. Energies are from GGA-PBE.

The calculation puts the final energy at -4.028 eV per atom. As for the crystal system: tetragonal.

It has space group P4/mmm (No. 123), with a = 4.241 Å, b = 4.241 Å, c = 21.108 Å, α = 90.00°, β = 90.00° and γ = 90.00°. The asymmetric unit holds Ho at (0.000, 0.000, 0.101), Ho at (0.000, 0.000, 0.304), Sc at (0.000, 0.000, 0.500), Ga at (0.000, 0.500, 0.000), Ga at (0.000, 0.500, 0.202), Ga at (0.000, 0.500, 0.405), Ga at (0.500, 0.500, 0.101), Ga at (0.500, 0.500, 0.301) and Ga at (0.500, 0.500, 0.500).


(10)
Here is an optimized crystal structure of HoSc5Ga3 from Alexandria via LeMat-Bulk. Energies are from GGA-PBE.

The calculation puts the final energy at -5.496 eV per atom. As for the crystal system: hexagonal.

It has space group P6_3/mcm (No. 193), with a = 8.4377 Å, b = 8.4377 Å, c = 6.2051 Å, α = 90.00°, β = 90.00° and γ = 120.00°. The asymmetric unit holds Ho at (0.0000, 0.0000, 0.0000), Sc at (0.0000, 0.3379, 0.2500), Sc at (0.3333, 0.6667, 0.0000) and Ga at (0.0000, 0.3348, 0.7500).


(11)
Here is an optimized crystal structure of Ho2ScGa2 from Alexandria via LeMat-Bulk. Energies are from GGA-PBE.

The calculation puts the final energy at -4.830 eV per atom. As for the crystal system: orthorhombic.

It has space group Immm (No. 71), with a = 4.327 Å, b = 6.207 Å, c = 8.831 Å, α = 90.00°, β = 90.00° and γ = 90.00°. The asymmetric unit holds Ho at (0.000, 0.000, 0.202), Sc at (0.000, 0.500, 0.000) and Ga at (0.000, 0.289, 0.500).


(12)
Here is an optimized crystal structure of Ho2ScGa6 from Alexandria via LeMat-Bulk. Energies are from GGA-PBE.

The calculation puts the final energy at -4.320 eV per atom. As for the crystal system: hexagonal.

It has space group P6/mmm (No. 191), with a = 7.4294 Å, b = 7.4294 Å, c = 3.6994 Å, α = 90.00°, β = 90.00° and γ = 120.00°. The asymmetric unit holds Ho at (0.3333, 0.6667, 0.0000), Sc at (0.0000, 0.0000, 0.0000) and Ga at (0.0000, 0.3308, 0.5000).


(13)
Here is an optimized crystal structure of Ho2ScGa from Alexandria via LeMat-Bulk. Energies are from GGA-PBE.

The calculation puts the final energy at -4.884 eV per atom. As for the crystal system: tetragonal.

It has space group P4/mmm (No. 123), with a = 4.633 Å, b = 4.633 Å, c = 4.528 Å, α = 90.00°, β = 90.00° and γ = 90.00°. The asymmetric unit holds Ho at (0.000, 0.500, 0.000), Sc at (0.000, 0.000, 0.500) and Ga at (0.500, 0.500, 0.500).


(14)
Here is an optimized crystal structure of HoScGaSn from Alexandria via LeMat-Bulk. Energies are from GGA-PBE.

The calculation puts the final energy at -4.987 eV per atom. As for the crystal system: cubic.

It has space group F-43m (No. 216), with a = 7.170 Å, b = 7.170 Å, c = 7.170 Å, α = 90.00°, β = 90.00° and γ = 90.00°. The asymmetric unit holds Ho at (0.000, 0.000, 0.000), Sc at (0.000, 0.000, 0.500), Ga at (0.250, 0.250, 0.250) and Sn at (0.250, 0.250, 0.750).


(15)
Here is an optimized crystal structure of TbHoScGa from Alexandria via LeMat-Bulk. Energies are from GGA-PBE.

The calculation puts the final energy at -4.785 eV per atom. As for the crystal system: cubic.

It has space group F-43m (No. 216), with a = 7.355 Å, b = 7.355 Å, c = 7.355 Å, α = 90.00°, β = 90.00° and γ = 90.00°. The asymmetric unit holds Tb at (0.000, 0.000, 0.000), Ho at (0.000, 0.000, 0.500), Sc at (0.250, 0.250, 0.250) and Ga at (0.250, 0.250, 0.750).


(16)
Here is an optimized crystal structure of HoTmScGa from Alexandria via LeMat-Bulk. Energies are from GGA-PBE.

The calculation puts the final energy at -4.737 eV per atom. As for the crystal system: cubic.

It has space group F-43m (No. 216), with a = 7.304 Å, b = 7.304 Å, c = 7.304 Å, α = 90.00°, β = 90.00° and γ = 90.00°. The asymmetric unit holds Ho at (0.000, 0.000, 0.000), Tm at (0.000, 0.000, 0.500), Sc at (0.250, 0.250, 0.250) and Ga at (0.250, 0.250, 0.750).


(17)
Here is an optimized crystal structure of HoSc2Zn2Ga2 from Alexandria via LeMat-Bulk. Energies are from GGA-PBE.

The calculation puts the final energy at -4.093 eV per atom. As for the crystal system: trigonal.

It has space group R-3m (No. 166, hexagonal axes), with a = 4.3716 Å, b = 4.3716 Å, c = 25.4461 Å, α = 90.00°, β = 90.00° and γ = 120.00°. The asymmetric unit holds Ho at (0.0000, 0.0000, 0.0000), Sc at (0.0000, 0.0000, 0.1300), Zn at (0.0000, 0.0000, 0.4057) and Ga at (0.0000, 0.0000, 0.2559).


(18)
Here is an optimized crystal structure of Ho2ScZn2Ga2 from Alexandria via LeMat-Bulk. Energies are from GGA-PBE.

The calculation puts the final energy at -3.818 eV per atom. As for the crystal system: trigonal.

It has space group R-3m (No. 166, hexagonal axes), with a = 4.3457 Å, b = 4.3457 Å, c = 27.2684 Å, α = 90.00°, β = 90.00° and γ = 120.00°. The asymmetric unit holds Ho at (0.0000, 0.0000, 0.1235), Sc at (0.0000, 0.0000, 0.0000), Zn at (0.0000, 0.0000, 0.3866) and Ga at (0.0000, 0.0000, 0.2700).


(19)
Here is an optimized crystal structure of Ho2Sc2ZnGa4 from Alexandria via LeMat-Bulk. Energies are from GGA-PBE.

The calculation puts the final energy at -4.097 eV per atom. As for the crystal system: tetragonal.

It has space group I4/mmm (No. 139), with a = 6.751 Å, b = 6.751 Å, c = 8.694 Å, α = 90.00°, β = 90.00° and γ = 90.00°. The asymmetric unit holds Ho at (0.000, 0.000, 0.195), Sc at (0.000, 0.500, 0.250), Zn at (0.000, 0.000, 0.500) and Ga at (0.250, 0.250, 0.000).


(20)
Here is an optimized crystal structure of Ho2GaSe from Alexandria via LeMat-Bulk. Energies are from GGA-PBE.

The calculation puts the final energy at -5.148 eV per atom. For the formation energy from raw total energies, the calculation gives -1.23 eV per atom. As for the crystal system: orthorhombic.

It has space group Cmcm (No. 63), with a = 4.227 Å, b = 22.235 Å, c = 4.016 Å, α = 90.00°, β = 90.00° and γ = 90.00°. The asymmetric unit holds Ho at (0.000, 0.066, 0.250), Ho at (0.000, 0.322, 0.250), Ga at (0.000, 0.460, 0.250) and Se at (0.000, 0.193, 0.250).


(21)
Here is an optimized crystal structure of Ho8GaSe6 from Alexandria via LeMat-Bulk. Energies are from GGA-PBE.

The calculation puts the final energy at -5.306 eV per atom. For the formation energy from raw total energies, the calculation gives -1.27 eV per atom. As for the crystal system: trigonal.

It has space group P-3 (No. 147), with a = 10.4484 Å, b = 10.4484 Å, c = 4.0108 Å, α = 90.00°, β = 90.00° and γ = 120.00°. The asymmetric unit holds Ho at (0.0327, 0.3108, 0.2479), Ho at (0.3333, 0.6667, 0.7520), Ga at (0.0000, 0.0000, 0.0000) and Se at (0.1303, 0.6486, 0.2492).


(22)
Here is an optimized crystal structure of Ho5GaSe4 from Alexandria via LeMat-Bulk. Energies are from GGA-PBE.

The calculation puts the final energy at -5.544 eV per atom. For the formation energy from raw total energies, the calculation gives -1.56 eV per atom. As for the crystal system: tetragonal.

It has space group I4/m (No. 87), with a = 9.155 Å, b = 9.155 Å, c = 5.759 Å, α = 90.00°, β = 90.00° and γ = 90.00°. The asymmetric unit holds Ho at (0.000, 0.000, 0.000), Ho at (0.097, 0.708, 0.500), Ga at (0.000, 0.000, 0.500) and Se at (0.097, 0.698, 0.000).


(23)
Here is an optimized crystal structure of Ho6GaSe4 from Alexandria via LeMat-Bulk. Energies are from GGA-PBE.

The calculation puts the final energy at -5.418 eV per atom. For the formation energy from raw total energies, the calculation gives -1.38 eV per atom. As for the crystal system: orthorhombic.

It has space group Cmcm (No. 63), with a = 3.990 Å, b = 13.242 Å, c = 20.616 Å, α = 90.00°, β = 90.00° and γ = 90.00°. The asymmetric unit holds Ho at (0.000, 0.000, 0.000), Ho at (0.000, 0.164, 0.250), Ho at (0.000, 0.271, 0.597), Ho at (0.000, 0.442, 0.168), Ga at (0.000, 0.173, 0.750), Se at (0.000, 0.082, 0.125) and Se at (0.000, 0.357, 0.037).